# 1
{
  "formula": "KPuO3",
  "functional": "PBE",
  "state": "optimized geometry",
  "raw_formation_energy_ev_per_atom": -2.449,
  "dos_at_fermi_per_ev_cell": 17.81,
  "total_magnetization_mub_per_atom": 0.60,
  "e_tot_ev_per_atom": -8.5093,
  "lattice": [[5.9071, -5.3396, 0.0000], [5.9071, 5.3396, 0.0000], [-0.5107, 0.0000, 6.0436]],
  "species": ["K", "K", "K", "K", "Pu", "Pu", "Pu", "Pu", "O", "O", "O", "O", "O", "O", "O", "O", "O", "O", "O", "O"],
  "fractional_positions": [[0.1020, 0.3010, 0.2877], [0.3010, 0.1020, 0.7877], [0.6990, 0.8980, 0.2123], [0.8980, 0.6990, 0.7123], [0.2528, 0.7472, 0.2500], [0.4163, 0.5837, 0.7500], [0.5837, 0.4163, 0.2500], [0.7472, 0.2528, 0.7500], [0.0225, 0.7564, 0.1267], [0.1947, 0.6221, 0.5504], [0.2436, 0.9775, 0.3733], [0.3333, 0.4922, 0.0727], [0.3779, 0.8053, 0.9496], [0.4922, 0.3333, 0.5727], [0.5078, 0.6667, 0.4273], [0.6221, 0.1947, 0.0504], [0.6667, 0.5078, 0.9273], [0.7564, 0.0225, 0.6267], [0.8053, 0.3779, 0.4496], [0.9775, 0.2436, 0.8733]]
}

***

# 2
{
  "formula": "Sr3Tl2I8",
  "functional": "PBE",
  "state": "optimized geometry",
  "raw_formation_energy_ev_per_atom": -1.376,
  "dos_at_fermi_per_ev_cell": 0.00,
  "total_magnetization_mub_per_atom": 0.00,
  "e_tot_ev_per_atom": -3.0824,
  "lattice": [[8.6704, -4.8431, 0.0000], [8.6704, 4.8431, 0.0000], [-2.6283, 0.0000, 7.9056]],
  "species": ["Sr", "Sr", "Sr", "Tl", "Tl", "I", "I", "I", "I", "I", "I", "I", "I"],
  "fractional_positions": [[0.0000, 0.0000, 0.0000], [0.2587, 0.7413, 0.5000], [0.7413, 0.2587, 0.5000], [0.2671, 0.2671, 0.8431], [0.7329, 0.7329, 0.1569], [0.1088, 0.1088, 0.4083], [0.1170, 0.6518, 0.1000], [0.3482, 0.8830, 0.9000], [0.3828, 0.3828, 0.5661], [0.6172, 0.6172, 0.4339], [0.6518, 0.1170, 0.1000], [0.8830, 0.3482, 0.9000], [0.8912, 0.8912, 0.5917]]
}

***

# 3
{
  "formula": "Ac2PmTl",
  "functional": "PBE",
  "state": "optimized geometry",
  "dos_at_fermi_per_ev_cell": 8.57,
  "e_above_lowest_polymorph_ev_per_atom": 0.048,
  "e_form_ev_per_fu": -0.37,
  "total_magnetization_mub_per_atom": 0.00,
  "e_tot_ev_per_atom": -3.9254,
  "lattice": [[6.1757, -3.3972, 0.0000], [6.1757, 3.3972, 0.0000], [-1.7605, 0.0000, 7.1497]],
  "species": ["Ac", "Ac", "Ac", "Ac", "Pm", "Pm", "Tl", "Tl"],
  "fractional_positions": [[0.2120, 0.2217, 0.0991], [0.2217, 0.2120, 0.5991], [0.7783, 0.7880, 0.4009], [0.7880, 0.7783, 0.9009], [0.3140, 0.6860, 0.7500], [0.6860, 0.3140, 0.2500], [0.2137, 0.7863, 0.2500], [0.7863, 0.2137, 0.7500]]
}

***

# 4
{
  "formula": "TaGa2Ni2",
  "functional": "PBE",
  "state": "optimized geometry",
  "dos_at_fermi_per_ev_cell": 4.17,
  "e_above_lowest_polymorph_ev_per_atom": 0.000,
  "e_form_ev_per_fu": -1.19,
  "total_magnetization_mub_per_atom": 0.00,
  "e_tot_ev_per_atom": -6.1323,
  "lattice": [[7.0585, 0.0000, 0.0000], [0.0000, 7.0585, 0.0000], [0.0000, 0.0000, 2.7449]],
  "species": ["Ta", "Ta", "Ga", "Ga", "Ga", "Ga", "Ni", "Ni", "Ni", "Ni"],
  "fractional_positions": [[0.0000, 0.0000, 0.0000], [0.5000, 0.5000, 0.0000], [0.1664, 0.3336, 0.5000], [0.3336, 0.8336, 0.5000], [0.6664, 0.1664, 0.5000], [0.8336, 0.6664, 0.5000], [0.1293, 0.6293, 0.0000], [0.3707, 0.1293, 0.0000], [0.6293, 0.8707, 0.0000], [0.8707, 0.3707, 0.0000]]
}

***

# 5
{
  "formula": "Li2HoZn2Au2",
  "functional": "PBE",
  "state": "optimized geometry",
  "dos_at_fermi_per_ev_cell": 2.83,
  "e_form_ev_per_fu": -3.59,
  "total_magnetization_mub_per_atom": 0.00,
  "e_tot_ev_per_atom": -3.0145,
  "lattice": [[3.9205, -2.2521, 0.0000], [3.9205, 2.2521, 0.0000], [-2.6200, 0.0000, 7.2781]],
  "species": ["Li", "Li", "Ho", "Zn", "Zn", "Au", "Au"],
  "fractional_positions": [[0.1417, 0.1417, 0.4242], [0.8583, 0.8583, 0.5758], [0.0000, 0.0000, 0.0000], [0.4229, 0.4229, 0.2653], [0.5771, 0.5771, 0.7347], [0.2600, 0.2600, 0.7810], [0.7400, 0.7400, 0.2190]]
}

***

# 6
{
  "formula": "Pu4HCl5",
  "functional": "PBE",
  "state": "optimized geometry",
  "dos_at_fermi_per_ev_cell": 22.63,
  "total_magnetization_mub_per_atom": 1.14,
  "e_tot_ev_per_atom": -8.0403,
  "lattice": [[9.4524, -1.7057, 0.0000], [9.4524, 1.7057, 0.0000], [-0.2900, 0.0000, 8.0601]],
  "species": ["Pu", "Pu", "Pu", "Pu", "H", "Cl", "Cl", "Cl", "Cl", "Cl"],
  "fractional_positions": [[0.0094, 0.0094, 0.2933], [0.2835, 0.2835, 0.4460], [0.7165, 0.7165, 0.5540], [0.9906, 0.9906, 0.7067], [0.5000, 0.5000, 0.5000], [0.1413, 0.1413, 0.7519], [0.1532, 0.1532, 0.2776], [0.5000, 0.5000, 0.0000], [0.8468, 0.8468, 0.7224], [0.8587, 0.8587, 0.2481]]
}

***

# 7
{
  "formula": "HfMnFe2Co",
  "functional": "PBE",
  "state": "optimized geometry",
  "dos_at_fermi_per_ev_cell": 5.74,
  "e_form_ev_per_fu": 9.48,
  "total_magnetization_mub_per_atom": 0.08,
  "e_tot_ev_per_atom": -6.7344,
  "lattice": [[4.4352, 0.0000, 0.0000], [0.0000, 4.4352, 0.0000], [0.0000, 0.0000, 4.7265]],
  "species": ["Hf", "Mn", "Fe", "Fe", "Co"],
  "fractional_positions": [[0.0000, 0.0000, 0.0000], [0.0000, 0.0000, 0.5000], [0.0000, 0.5000, 0.0000], [0.5000, 0.0000, 0.0000], [0.5000, 0.5000, 0.5000]]
}

***

# 8
{
  "formula": "CdCuOs2",
  "functional": "PBE",
  "state": "optimized geometry",
  "dos_at_fermi_per_ev_cell": 5.38,
  "e_form_ev_per_fu": 3.04,
  "total_magnetization_mub_per_atom": 0.00,
  "e_tot_ev_per_atom": -6.1084,
  "lattice": [[2.9586, 0.0000, 0.0000], [0.0000, 2.9586, 0.0000], [0.0000, 0.0000, 6.9532]],
  "species": ["Cd", "Cu", "Os", "Os"],
  "fractional_positions": [[0.0000, 0.0000, 0.0000], [0.0000, 0.0000, 0.5000], [0.5000, 0.5000, 0.2993], [0.5000, 0.5000, 0.7007]]
}

***

# 9
{
  "formula": "PaAlIO6",
  "functional": "PBE",
  "state": "optimized geometry",
  "raw_formation_energy_ev_per_atom": -2.029,
  "dos_at_fermi_per_ev_cell": 3.26,
  "total_magnetization_mub_per_atom": 0.11,
  "e_tot_ev_per_atom": -6.9773,
  "lattice": [[5.3993, 0.0000, 0.0000], [-2.6997, 4.6759, 0.0000], [0.0000, 0.0000, 9.3005]],
  "species": ["Pa", "Pa", "Al", "Al", "I", "I", "O", "O", "O", "O", "O", "O", "O", "O", "O", "O", "O", "O"],
  "fractional_positions": [[0.0000, 0.0000, 0.0000], [0.0000, 0.0000, 0.5000], [0.3333, 0.6667, 0.2500], [0.6667, 0.3333, 0.7500], [0.3333, 0.6667, 0.7500], [0.6667, 0.3333, 0.2500], [0.0424, 0.3573, 0.1364], [0.0424, 0.6851, 0.3636], [0.3149, 0.3573, 0.3636], [0.3149, 0.9576, 0.1364], [0.3573, 0.0424, 0.6364], [0.3573, 0.3149, 0.8636], [0.6427, 0.6851, 0.1364], [0.6427, 0.9576, 0.3636], [0.6851, 0.0424, 0.8636], [0.6851, 0.6427, 0.6364], [0.9576, 0.3149, 0.6364], [0.9576, 0.6427, 0.8636]]
}

***

# 10
{
  "formula": "FeCoTeN2",
  "functional": "PBE",
  "state": "optimized geometry",
  "raw_formation_energy_ev_per_atom": 1.178,
  "dos_at_fermi_per_ev_cell": 5.82,
  "e_above_lowest_polymorph_ev_per_atom": 0.240,
  "total_magnetization_mub_per_atom": 0.36,
  "e_tot_ev_per_atom": -5.8947,
  "lattice": [[3.6340, 0.0000, 0.0000], [0.0000, 3.6340, 0.0000], [0.0000, 0.0000, 5.6727]],
  "species": ["Fe", "Co", "Te", "N", "N"],
  "fractional_positions": [[0.0000, 0.0000, 0.0000], [0.5000, 0.5000, 0.5000], [0.5000, 0.5000, 0.0000], [0.0000, 0.5000, 0.5000], [0.5000, 0.0000, 0.5000]]
}

***

# 11
{
  "formula": "NdDy8C4",
  "functional": "PBE",
  "state": "optimized geometry",
  "dos_at_fermi_per_ev_cell": 12.42,
  "e_form_ev_per_fu": -2.31,
  "total_magnetization_mub_per_atom": 0.05,
  "e_tot_ev_per_atom": -6.2148,
  "lattice": [[9.0415, -1.8022, 0.0000], [9.0415, 1.8022, 0.0000], [-8.3540, 0.0000, 9.2202]],
  "species": ["Nd", "Dy", "Dy", "Dy", "Dy", "Dy", "Dy", "Dy", "Dy", "C", "C", "C", "C"],
  "fractional_positions": [[0.0000, 0.0000, 0.0000], [0.0411, 0.0411, 0.7312], [0.2934, 0.2934, 0.9356], [0.3351, 0.3351, 0.6512], [0.3613, 0.3613, 0.4026], [0.6387, 0.6387, 0.5974], [0.6649, 0.6649, 0.3488], [0.7066, 0.7066, 0.0644], [0.9589, 0.9589, 0.2688], [0.1493, 0.1493, 0.4688], [0.3328, 0.3328, 0.1738], [0.6672, 0.6672, 0.8262], [0.8507, 0.8507, 0.5312]]
}

***

# 12
{
  "formula": "Nb4CuPd5",
  "functional": "PBE",
  "state": "optimized geometry",
  "dos_at_fermi_per_ev_cell": 11.81,
  "e_form_ev_per_fu": -1.27,
  "total_magnetization_mub_per_atom": 0.00,
  "e_tot_ev_per_atom": -7.1611,
  "lattice": [[3.4389, 0.0000, 0.0000], [0.0000, 3.4389, 0.0000], [0.0000, 0.0000, 13.9263]],
  "species": ["Nb", "Nb", "Nb", "Nb", "Cu", "Pd", "Pd", "Pd", "Pd", "Pd"],
  "fractional_positions": [[0.0000, 0.0000, 0.1009], [0.0000, 0.0000, 0.3028], [0.0000, 0.0000, 0.6972], [0.0000, 0.0000, 0.8991], [0.0000, 0.0000, 0.5000], [0.5000, 0.5000, 0.0000], [0.5000, 0.5000, 0.2034], [0.5000, 0.5000, 0.4040], [0.5000, 0.5000, 0.5960], [0.5000, 0.5000, 0.7966]]
}

***

# 13
{
  "formula": "Mg2TaZn",
  "functional": "PBE",
  "state": "optimized geometry",
  "dos_at_fermi_per_ev_cell": 3.25,
  "e_form_ev_per_fu": 0.77,
  "total_magnetization_mub_per_atom": 0.00,
  "e_tot_ev_per_atom": -3.8873,
  "lattice": [[2.9386, 0.0000, 0.0000], [0.0000, 4.3847, 0.0000], [-1.4378, 0.0000, 5.7571]],
  "species": ["Mg", "Mg", "Ta", "Zn"],
  "fractional_positions": [[0.0000, 0.0000, 0.0000], [0.3726, 0.5000, 0.7494], [0.6392, 0.5000, 0.2780], [0.2318, 0.0000, 0.4666]]
}

***

# 14
{
  "formula": "Sr2AuI",
  "functional": "PBE",
  "state": "optimized geometry",
  "raw_formation_energy_ev_per_atom": -0.807,
  "dos_at_fermi_per_ev_cell": 1.85,
  "e_above_lowest_polymorph_ev_per_atom": 0.226,
  "total_magnetization_mub_per_atom": 0.00,
  "e_tot_ev_per_atom": -2.8545,
  "lattice": [[-4.3212, 4.3212, 4.2836], [4.3212, -4.3212, 4.2836], [4.3212, 4.3212, -4.2836]],
  "species": ["Sr", "Sr", "Sr", "Sr", "Au", "Au", "I", "I"],
  "fractional_positions": [[0.0949, 0.6250, 0.9699], [0.3750, 0.3449, 0.4699], [0.6551, 0.1250, 0.0301], [0.8750, 0.9051, 0.5301], [0.0000, 0.0000, 0.0000], [0.7500, 0.2500, 0.5000], [0.2500, 0.7500, 0.5000], [0.5000, 0.5000, 0.0000]]
}

***

# 15
{
  "formula": "Sm4MgTl3",
  "functional": "PBE",
  "state": "optimized geometry",
  "dos_at_fermi_per_ev_cell": 8.76,
  "e_above_lowest_polymorph_ev_per_atom": 0.000,
  "e_form_ev_per_fu": -2.51,
  "total_magnetization_mub_per_atom": 0.00,
  "e_tot_ev_per_atom": -3.7605,
  "lattice": [[8.2571, -2.7116, 0.0000], [8.2571, 2.7116, 0.0000], [-1.7749, 0.0000, 5.1246]],
  "species": ["Sm", "Sm", "Sm", "Sm", "Mg", "Tl", "Tl", "Tl"],
  "fractional_positions": [[0.1248, 0.1248, 0.1247], [0.3752, 0.3752, 0.3753], [0.6248, 0.6248, 0.6247], [0.8752, 0.8752, 0.8753], [0.0000, 0.0000, 0.5000], [0.2462, 0.2462, 0.7461], [0.5000, 0.5000, 0.0000], [0.7538, 0.7538, 0.2539]]
}

***

# 16
{
  "formula": "NdEuIr",
  "functional": "PBE",
  "state": "optimized geometry",
  "dos_at_fermi_per_ev_cell": 10.68,
  "e_above_lowest_polymorph_ev_per_atom": 0.000,
  "e_form_ev_per_fu": -1.37,
  "total_magnetization_mub_per_atom": 2.33,
  "e_tot_ev_per_atom": -8.4241,
  "lattice": [[0.0000, 3.4988, 3.4988], [3.4988, 0.0000, 3.4988], [3.4988, 3.4988, 0.0000]],
  "species": ["Nd", "Eu", "Ir"],
  "fractional_positions": [[0.0000, 0.0000, 0.0000], [0.5000, 0.5000, 0.5000], [0.7500, 0.7500, 0.7500]]
}

***

# 17
{
  "formula": "PmUSe4",
  "functional": "PBE",
  "state": "optimized geometry",
  "raw_formation_energy_ev_per_atom": -1.304,
  "dos_at_fermi_per_ev_cell": 6.27,
  "e_above_lowest_polymorph_ev_per_atom": 0.061,
  "total_magnetization_mub_per_atom": 0.19,
  "e_tot_ev_per_atom": -6.2997,
  "lattice": [[3.4174, -3.4176, 0.0000], [3.4174, 3.4176, 0.0000], [-0.0165, 0.0000, 6.9466]],
  "species": ["Pm", "U", "Se", "Se", "Se", "Se"],
  "fractional_positions": [[0.0000, 0.0000, 0.0000], [0.5000, 0.5000, 0.5000], [0.9997, 0.5003, 0.2624], [0.0003, 0.4997, 0.7376], [0.5003, 0.9997, 0.2624], [0.4997, 0.0003, 0.7376]]
}

***

# 18
{
  "formula": "AcTbSc2",
  "functional": "PBE",
  "state": "optimized geometry",
  "dos_at_fermi_per_ev_cell": 4.86,
  "e_above_lowest_polymorph_ev_per_atom": 0.045,
  "e_form_ev_per_fu": 0.54,
  "total_magnetization_mub_per_atom": 0.00,
  "e_tot_ev_per_atom": -5.2154,
  "lattice": [[1.7893, 1.0331, 11.0694], [-1.7893, 1.0331, 11.0694], [0.0000, -2.0661, 11.0694]],
  "species": ["Ac", "Tb", "Sc", "Sc"],
  "fractional_positions": [[0.0000, 0.0000, 0.0000], [0.5000, 0.5000, 0.5000], [0.2473, 0.2473, 0.2473], [0.7527, 0.7527, 0.7527]]
}

***

# 19
{
  "formula": "Tb2MnAs4Rh3",
  "functional": "PBE",
  "state": "optimized geometry",
  "dos_at_fermi_per_ev_cell": 6.39,
  "e_form_ev_per_fu": -8.01,
  "total_magnetization_mub_per_atom": 0.34,
  "e_tot_ev_per_atom": -6.7097,
  "lattice": [[4.2122, 0.0000, 0.0000], [0.0000, 4.2122, 0.0000], [0.0000, 0.0000, 10.2212]],
  "species": ["Tb", "Tb", "Mn", "As", "As", "As", "As", "Rh", "Rh", "Rh"],
  "fractional_positions": [[0.0000, 0.5000, 0.2460], [0.5000, 0.0000, 0.7540], [0.0000, 0.0000, 0.5000], [0.0000, 0.0000, 0.0000], [0.0000, 0.5000, 0.6371], [0.5000, 0.0000, 0.3629], [0.5000, 0.5000, 0.0000], [0.0000, 0.5000, 0.8742], [0.5000, 0.0000, 0.1258], [0.5000, 0.5000, 0.5000]]
}

***

# 20
{
  "formula": "BaCoHg3",
  "functional": "PBE",
  "state": "optimized geometry",
  "dos_at_fermi_per_ev_cell": 2.78,
  "e_above_lowest_polymorph_ev_per_atom": 0.000,
  "e_form_ev_per_fu": -0.75,
  "total_magnetization_mub_per_atom": 0.12,
  "e_tot_ev_per_atom": -2.1370,
  "lattice": [[5.1345, 0.0000, 0.0000], [0.0000, 5.1345, 0.0000], [0.0000, 0.0000, 5.1345]],
  "species": ["Ba", "Co", "Hg", "Hg", "Hg"],
  "fractional_positions": [[0.0000, 0.0000, 0.0000], [0.5000, 0.5000, 0.5000], [0.0000, 0.5000, 0.5000], [0.5000, 0.0000, 0.5000], [0.5000, 0.5000, 0.0000]]
}

***

Number 1: calculated volume 19.1 Å³ per atom. Number 2: calculated volume 51.1 Å³ per atom. Number 3: calculated volume 37.5 Å³ per atom. Number 4: calculated volume 13.7 Å³ per atom. Number 5: calculated volume 18.4 Å³ per atom. Number 6: calculated volume 26.0 Å³ per atom. Number 7: calculated volume 18.6 Å³ per atom. Number 8: calculated volume 15.2 Å³ per atom. Number 9: calculated volume 13.0 Å³ per atom. Number 10: calculated volume 15.0 Å³ per atom. Number 11: calculated volume 23.1 Å³ per atom. Number 12: calculated volume 16.5 Å³ per atom. Number 13: calculated volume 18.5 Å³ per atom. Number 14: calculated volume 40.0 Å³ per atom. Number 15: calculated volume 28.7 Å³ per atom. Number 16: calculated volume 28.6 Å³ per atom. Number 17: calculated volume 27.0 Å³ per atom. Number 18: calculated volume 30.7 Å³ per atom. Number 19: calculated volume 18.1 Å³ per atom. Number 20: calculated volume 27.1 Å³ per atom.